Entry 1:
# ErTm2Lu

A geometry-optimized ErTm2Lu structure (GGA-PBE, the Alexandria database).

Geometry as POSCAR:
```
ErTm2Lu
1.0
-0.7846 2.8219 4.7256
3.4153 -0.7978 4.3139
3.5806 3.9856 1.4850
Lu Tm Er
1 2 1
Cartesian
3.1057 3.0049 5.2623 Lu
4.6585 4.5073 7.8934 Tm
1.5528 1.5024 2.6311 Tm
0.0000 0.0000 0.0000 Er
```

Values from the calculation:
calculated volume = 30.380 Å³/atom
formation enthalpy at 0 K = 141 meV/atom
crystal system = cubic
energy above the lowest structure with this stoichiometry = 10.8 kJ per mole of atoms
total moment = 0.38 μB per formula unit
density = 9.29 g/cm3

Entry 2:
# NdSmNiCl

A geometry-optimized NdSmNiCl structure (GGA-PBE, the Alexandria database).

Geometry as POSCAR:
```
NdSmNiCl
1.0
3.9768 -0.0006 -0.0003
-1.9880 3.4451 0.0001
-1.9883 -1.1475 7.5492
Ni Sm Nd Cl
1 1 1 1
Cartesian
-1.6133 0.8976 6.5837 Ni
-1.6129 3.1932 0.5347 Sm
0.3755 -0.2512 5.0325 Nd
2.3652 0.8954 2.7181 Cl
```

Values from the calculation:
calculated volume = 25.854 Å³/atom
crystal system = trigonal
formation energy from raw total energies = -888 meV per atom
total moment = 0.00 μB per formula unit
density = 6.24 g/cm3